A crystal of Na2CuC relaxed with PBEsol, computed with meta-GGA SCAN.

Structure (extended XYZ):
```
8
Lattice="-5.000 5.000 1.798 5.000 -5.000 1.798 5.000 5.000 -1.798" Properties=species:S:1:pos:R:3 pbc="T T T"
Na 0.000 0.000 0.000
Na 2.500 2.500 -0.899
Na 2.500 -2.500 0.899
Na 0.000 5.000 0.000
Cu 5.000 2.500 0.450
Cu 0.000 2.500 1.349
C 5.000 -2.500 1.349
C 0.000 7.500 0.450
```

Computed properties:
Final energy   -63.73 eV per cell
Symmetry   No. 141
Magnetization   0.0 μB/f.u.